# 1
K2ReHg SCAN single point on PBEsol structure; SG = P4/mmm, No. 123; ΔH_f (0 K) = 25.7 kcal/mol of atoms; magnetic moment = 0.493 μB per atom; DFT total energy = -37.8662 eV per atom
1.0
-2.0030 1.6381 0.9103
-4.0660 -2.7543 -3.9904
-1.4690 -4.2632 4.4395
Hg K Re
1 2 1
Direct
0.5000 0.0000 0.0000
0.0000 0.0000 0.5000
0.0000 0.5000 0.0000
0.5000 0.5000 0.5000


# 2
RbLaSe2O8 SCAN single point on PBEsol structure; SG = P2_1/c, No. 14; magnetic moment = 0.000 μB per atom; DFT total energy = -14.5838 eV per atom
1.0
-2.9262 6.8279 -0.6583
-6.4905 -3.3055 -5.4340
-6.3236 -1.8308 9.1199
Rb La Se O
4 4 8 32
Direct
0.6444 0.5666 0.8427
0.3556 0.4334 0.1573
0.1444 0.4334 0.6573
0.8556 0.5666 0.3427
0.8321 0.0544 0.8485
0.1679 0.9456 0.1515
0.3321 0.9456 0.6515
0.6679 0.0544 0.3485
0.8353 0.8157 0.6098
0.1647 0.1843 0.3902
0.3353 0.1843 0.8902
0.6647 0.8157 0.1098
0.6600 0.2733 0.5886
0.3400 0.7267 0.4114
0.1600 0.7267 0.9114
0.8400 0.2733 0.0886
0.1657 0.1172 0.5258
0.8343 0.8828 0.4742
0.6657 0.8828 0.9742
0.3343 0.1172 0.0258
0.5007 0.1008 0.8106
0.4993 0.8992 0.1894
0.0007 0.8992 0.6894
0.9993 0.1008 0.3106
0.8471 0.6363 0.6056
0.1529 0.3637 0.3944
0.3471 0.3637 0.8944
0.6529 0.6363 0.1056
0.7384 0.2958 0.9577
0.2616 0.7042 0.0423
0.2384 0.7042 0.5423
0.7616 0.2958 0.4577
0.5463 0.1167 0.5540
0.4537 0.8833 0.4460
0.0463 0.8833 0.9460
0.9537 0.1167 0.0540
0.5256 0.4053 0.6321
0.4744 0.5947 0.3679
0.0256 0.5947 0.8679
0.9744 0.4053 0.1321
0.1589 0.1293 0.8051
0.8411 0.8707 0.1949
0.6589 0.8707 0.6949
0.3411 0.1293 0.3051
0.8156 0.2399 0.6916
0.1844 0.7601 0.3084
0.3156 0.7601 0.8084
0.6844 0.2399 0.1916


# 3
Zn2TcCl SCAN single point on PBEsol structure; SG = P4mm, No. 99; relative energy among the computed polymorphs = 0 meV per atom; magnetic moment = 0.000 μB per atom; DFT total energy = -17.2130 eV per atom
1.0
-1.3229 2.4791 0.5787
-2.3960 -0.9921 -1.2271
-2.2990 -2.8038 6.7559
Zn Tc Cl
2 1 1
Direct
0.0000 0.0000 0.9796
0.5000 0.5000 0.2055
0.5000 0.5000 0.7498
0.0000 0.0000 0.5651


# 4
Nd2Ni7P4 SCAN single point on PBEsol structure; SG = Pmn2_1, No. 31; ΔH_f (0 K) = -20.3 kcal/mol of atoms; magnetic moment = 0.000 μB per atom; DFT total energy = -19.4939 eV per atom
1.0
3.7108 0.0000 0.0000
0.0000 9.1243 0.0000
0.0000 0.0000 10.3076
Nd Ni P
4 14 8
Direct
0.5000 0.4371 0.5010
0.5000 0.0594 0.2824
0.0000 0.9406 0.7824
0.0000 0.5629 0.0010
0.5000 0.3053 0.0739
0.5000 0.7451 0.4025
0.5000 0.4178 0.8056
0.5000 0.0609 0.9792
0.5000 0.6833 0.7623
0.0000 0.2745 0.6711
0.0000 0.2549 0.9025
0.0000 0.6947 0.5739
0.5000 0.0968 0.5842
0.0000 0.3167 0.2623
0.0000 0.5822 0.3056
0.0000 0.9032 0.0842
0.0000 0.9391 0.4792
0.5000 0.7255 0.1711
0.0000 0.8161 0.2876
0.0000 0.1860 0.4699
0.5000 0.1839 0.7876
0.0000 0.1568 0.0897
0.5000 0.4763 0.2182
0.5000 0.8140 0.9699
0.5000 0.8432 0.5897
0.0000 0.5237 0.7182


# 5
LaRe2Ni SCAN single point on PBEsol structure; SG = Cmmm, No. 65; ΔH_f (0 K) = 5.8 kcal/mol of atoms; magnetic moment = 0.000 μB per atom; DFT total energy = -50.1175 eV per atom
1.0
-0.8594 3.9877 0.9291
-0.6274 -2.3960 3.3717
4.3277 0.6392 1.2595
La Ni Re
1 1 2
Direct
0.0000 0.5000 0.5000
0.5000 0.0000 0.5000
0.3237 0.1763 0.0000
0.6763 0.8237 0.0000


# 6
TaTe3Os SCAN single point on PBEsol structure; SG = Pm-3m, No. 221; magnetic moment = 0.258 μB per atom; DFT total energy = -48.7061 eV per atom
1.0
5.0761 0.0000 0.0000
0.0000 5.0761 0.0000
0.0000 0.0000 5.0761
Te Os Ta
3 1 1
Direct
0.0000 0.5000 0.0000
0.0000 0.0000 0.5000
0.5000 0.0000 0.0000
0.0000 0.0000 0.0000
0.5000 0.5000 0.5000


# 7
SiAg2Rh SCAN single point on PBEsol structure; SG = P4mm, No. 99; magnetic moment = 0.000 μB per atom; DFT total energy = -26.8358 eV per atom
1.0
-1.7944 2.0644 1.0615
-0.3975 -1.5951 2.4303
5.4328 3.1891 2.9816
Ag Rh Si
2 1 1
Direct
0.0000 0.0000 0.9764
0.5000 0.5000 0.2598
0.0000 0.0000 0.5478
0.5000 0.5000 0.7160


# 8
Zn3Ag SCAN single point on PBEsol structure; SG = Imm2, No. 44; ΔH_f (0 K) = -0.6 kcal/mol of atoms; magnetic moment = 0.000 μB per atom; DFT total energy = -18.0057 eV per atom
1.0
2.8485 0.0000 0.0000
0.0000 4.6903 0.0000
-1.4243 -2.3451 4.3506
Zn Ag
3 1
Direct
0.7511 0.4148 0.5023
0.5000 0.5034 0.0000
0.2489 0.9125 0.4977
0.0000 0.0027 0.0000


Copy entry 1 word for word.
K2ReHg SCAN single point on PBEsol structure; SG = P4/mmm, No. 123; ΔH_f (0 K) = 25.7 kcal/mol of atoms; magnetic moment = 0.493 μB per atom; DFT total energy = -37.8662 eV per atom
1.0
-2.0030 1.6381 0.9103
-4.0660 -2.7543 -3.9904
-1.4690 -4.2632 4.4395
Hg K Re
1 2 1
Direct
0.5000 0.0000 0.0000
0.0000 0.0000 0.5000
0.0000 0.5000 0.0000
0.5000 0.5000 0.5000


What is the formula in the second record? RbLaSe2O8